# 1
12
Lattice="4.898 0.000 0.000 -2.449 4.242 0.000 0.000 0.000 18.272" Properties=species:S:1:pos:R:3 comment="meta-GGA SCAN BaMgIn2, single point on PBEsol structure" sg="No. 166" n_ef_per_ev_fu=1.90 pbc="T T T"
Ba 0.000 0.000 0.000
Ba 0.000 2.828 12.182
Ba 2.449 1.414 6.091
Mg 0.000 0.000 9.136
Mg 0.000 2.828 3.045
Mg 2.449 1.414 15.227
In 0.000 0.000 3.891
In 0.000 0.000 14.381
In 0.000 2.828 8.290
In 0.000 2.828 16.073
In 2.449 1.414 2.199
In 2.449 1.414 9.982


# 2
3
Lattice="3.671 0.000 0.000 -1.835 3.179 0.000 0.000 0.000 7.572" Properties=species:S:1:pos:R:3 comment="meta-GGA SCAN CaAlBr, single point on PBEsol structure" raw_formation_energy_ev_per_atom=-0.5478 sg="No. 156" n_ef_per_ev_fu=1.68 pbc="T T T"
Ca 0.000 0.000 0.000
Al 0.000 2.119 5.178
Br 1.835 1.060 1.860


# 3
2
Lattice="2.624 0.000 0.000 -1.312 2.272 0.000 0.000 0.000 4.146" Properties=species:S:1:pos:R:3 comment="meta-GGA SCAN CrRh, single point on PBEsol structure" sg="No. 187" n_ef_per_ev_fu=2.07 pbc="T T T"
Cr 0.000 0.000 0.000
Rh 0.000 1.515 2.073


# 4
5
Lattice="5.057 0.000 0.000 0.000 5.057 0.000 0.000 0.000 5.499" Properties=species:S:1:pos:R:3 comment="meta-GGA SCAN SbTeMo2P, single point on PBEsol structure" raw_formation_energy_ev_per_atom=2.0601 sg="No. 123" n_ef_per_ev_fu=4.34 pbc="T T T"
Sb 0.000 0.000 0.000
Te 0.000 0.000 2.749
Mo 0.000 2.529 0.000
Mo 2.529 0.000 0.000
P 2.529 2.529 2.749


# 5
8
Lattice="5.390 0.000 0.000 0.000 9.140 0.000 0.000 0.000 2.533" Properties=species:S:1:pos:R:3 comment="meta-GGA SCAN CaMnTc2, single point on PBEsol structure" sg="No. 65" n_ef_per_ev_fu=3.04 polymorph_energy_mev_per_atom=127 pbc="T T T"
Ca 0.000 0.000 0.000
Ca 2.695 4.570 0.000
Mn 0.000 4.570 0.000
Mn 2.695 0.000 0.000
Tc 1.348 2.285 1.267
Tc 1.348 6.855 1.267
Tc 4.043 2.285 1.267
Tc 4.043 6.855 1.267


# 6
10
Lattice="1.848 -5.143 0.000 1.848 5.143 0.000 0.000 0.000 6.620" Properties=species:S:1:pos:R:3 comment="meta-GGA SCAN HoFe2SiC, single point on PBEsol structure" raw_formation_energy_ev_per_atom=-0.4739 sg="No. 63" n_ef_per_ev_fu=3.01 pbc="T T T"
Ho 1.848 4.619 4.965
Ho 1.848 -4.619 1.655
Fe 1.848 1.702 3.728
Fe 1.848 1.702 6.201
Fe 1.848 -1.702 0.419
Fe 1.848 -1.702 2.891
Si 1.848 2.778 1.655
Si 1.848 -2.778 4.965
C 1.848 0.000 0.000
C 1.848 0.000 3.310


# 7
14
Lattice="2.804 0.000 0.000 0.000 4.922 0.000 0.000 0.000 10.093" Properties=species:S:1:pos:R:3 comment="meta-GGA SCAN Li2MnOF3, single point on PBEsol structure" raw_formation_energy_ev_per_atom=-2.7894 sg="No. 26" polymorph_energy_mev_per_atom=37 pbc="T T T"
Li 0.000 1.204 0.000
Li 0.000 1.219 5.697
Li 0.000 3.703 0.651
Li 0.000 3.718 5.046
Mn 1.402 1.113 2.981
Mn 1.402 3.808 8.027
O 0.000 0.217 3.739
O 0.000 4.705 8.785
F 0.000 2.258 2.168
F 0.000 2.663 7.214
F 1.402 0.093 1.091
F 1.402 2.410 4.814
F 1.402 2.512 9.860
F 1.402 4.828 6.137


# 8
46
Lattice="6.753 -5.378 0.000 6.753 5.378 0.000 -2.383 0.000 8.282" Properties=species:S:1:pos:R:3 comment="meta-GGA SCAN Na10Zn4O9, single point on PBEsol structure" raw_formation_energy_ev_per_atom=-1.5317 sg="No. 5" n_ef_per_ev_fu=0.00 pbc="T T T"
Na 0.000 0.000 0.000
Na 0.979 1.046 2.422
Na 2.840 3.158 7.769
Na 1.547 1.454 5.182
Na -0.152 -0.629 6.408
Na 4.302 1.803 1.877
Na 8.284 3.158 0.513
Na 3.109 -0.525 3.036
Na 4.035 0.912 6.547
Na 2.232 -1.818 5.310
Na 5.562 0.393 4.141
Na 6.822 1.803 6.405
Na 7.088 0.912 1.735
Na 9.576 1.454 3.100
Na 6.753 -2.170 0.000
Na 8.014 -0.525 5.246
Na 10.145 1.046 5.860
Na 8.892 -1.818 2.973
Na 5.562 -4.591 4.141
Na 11.276 -0.629 1.874
Zn 0.126 1.625 8.004
Zn 4.211 3.292 4.919
Zn 6.913 3.292 3.363
Zn 4.169 -0.547 0.250
Zn 10.997 1.625 0.278
Zn 5.534 -2.203 2.744
Zn 5.589 -2.203 5.539
Zn 6.955 -0.547 8.033
O 0.755 -0.479 4.201
O 2.275 -0.053 0.862
O 6.179 3.156 1.619
O 3.586 1.641 4.099
O 1.944 1.083 7.383
O 4.945 3.156 6.664
O 5.325 -0.484 1.847
O 1.819 -2.166 7.443
O 7.537 1.641 4.183
O 9.180 1.083 0.899
O 5.799 -0.484 6.435
O 4.100 -2.360 4.188
O 5.682 -3.827 1.614
O 8.849 -0.053 7.420
O 7.023 -2.360 4.095
O 10.368 -0.479 4.081
O 5.442 -3.827 6.668
O 9.305 -2.166 0.839


# 9
12
Lattice="6.313 0.000 0.000 0.000 6.313 0.000 0.000 0.000 6.313" Properties=species:S:1:pos:R:3 comment="meta-GGA SCAN CdTcSb, single point on PBEsol structure" raw_formation_energy_ev_per_atom=0.6406 sg="No. 216" n_ef_per_ev_fu=2.01 polymorph_energy_mev_per_atom=462 pbc="T T T"
Cd 0.000 0.000 0.000
Cd 0.000 3.157 3.157
Cd 3.157 0.000 3.157
Cd 3.157 3.157 0.000
Tc 0.000 0.000 3.157
Tc 0.000 3.157 0.000
Tc 3.157 0.000 0.000
Tc 3.157 3.157 3.157
Sb 1.578 1.578 4.735
Sb 1.578 4.735 1.578
Sb 4.735 1.578 1.578
Sb 4.735 4.735 4.735


# 10
6
Lattice="3.176 0.000 0.000 0.000 3.176 0.000 0.000 0.000 12.455" Properties=species:S:1:pos:R:3 comment="meta-GGA SCAN Sc5Be, single point on PBEsol structure" sg="No. 123" n_ef_per_ev_fu=7.77 polymorph_energy_mev_per_atom=0 pbc="T T T"
Sc 0.000 0.000 0.000
Sc 0.000 0.000 4.700
Sc 0.000 0.000 7.755
Sc 1.588 1.588 2.289
Sc 1.588 1.588 10.166
Be 1.588 1.588 6.228


# 11
4
Lattice="2.848 0.000 0.000 0.000 5.016 0.000 -0.642 0.000 4.946" Properties=species:S:1:pos:R:3 comment="meta-GGA SCAN LiYMo2, single point on PBEsol structure" sg="No. 10" n_ef_per_ev_fu=2.62 polymorph_energy_mev_per_atom=130 pbc="T T T"
Li 0.000 0.000 0.000
Y 1.103 0.000 2.473
Mo -0.107 2.508 3.705
Mo 2.314 2.508 1.242


# 12
10
Lattice="7.046 0.000 0.000 0.000 7.046 0.000 0.000 0.000 2.905" Properties=species:S:1:pos:R:3 comment="meta-GGA SCAN Cd2H2Au, single point on PBEsol structure" sg="No. 127" n_ef_per_ev_fu=0.76 pbc="T T T"
Cd 1.755 1.767 0.000
Cd 1.767 5.290 0.000
Cd 5.278 1.755 0.000
Cd 5.290 5.278 0.000
H 0.279 3.244 1.452
H 3.244 6.767 1.452
H 3.802 0.279 1.452
H 6.767 3.802 1.452
Au 0.000 0.000 1.452
Au 3.523 3.523 1.452


# 13
8
Lattice="2.933 0.000 0.000 0.000 4.589 0.000 0.000 0.000 8.638" Properties=species:S:1:pos:R:3 comment="meta-GGA SCAN BeTc2Hg, single point on PBEsol structure" sg="No. 35" n_ef_per_ev_fu=2.27 polymorph_energy_mev_per_atom=30 pbc="T T T"
Be 0.000 0.000 0.000
Be 1.467 2.295 0.000
Tc 0.000 0.000 3.918
Tc 0.000 2.295 1.842
Tc 1.467 0.000 1.842
Tc 1.467 2.295 3.918
Hg 0.000 2.295 6.471
Hg 1.467 0.000 6.471


# 14
8
Lattice="4.641 0.000 0.000 -0.020 4.901 0.000 -0.063 -1.061 4.980" Properties=species:S:1:pos:R:3 comment="meta-GGA SCAN Nb4NO3, single point on PBEsol structure" raw_formation_energy_ev_per_atom=-1.4654 sg="No. 1" n_ef_per_ev_fu=3.54 pbc="T T T"
Nb 0.000 0.000 0.000
Nb 0.167 1.289 3.036
Nb 1.946 3.835 3.195
Nb 2.401 2.176 0.130
N 3.371 2.464 4.066
O 1.053 -0.103 1.717
O 1.361 2.370 1.860
O 3.612 1.205 1.360


# 15
16
Lattice="7.671 0.000 0.000 0.000 7.671 0.000 0.000 0.000 7.671" Properties=species:S:1:pos:R:3 comment="meta-GGA SCAN Ba2NaOs, single point on PBEsol structure" sg="No. 225" n_ef_per_ev_fu=2.75 pbc="T T T"
Ba 1.918 1.918 1.918
Ba 1.918 1.918 5.753
Ba 1.918 5.753 1.918
Ba 1.918 5.753 5.753
Ba 5.753 1.918 1.918
Ba 5.753 1.918 5.753
Ba 5.753 5.753 1.918
Ba 5.753 5.753 5.753
Na 0.000 0.000 0.000
Na 0.000 3.835 3.835
Na 3.835 0.000 3.835
Na 3.835 3.835 0.000
Os 0.000 0.000 3.835
Os 0.000 3.835 0.000
Os 3.835 0.000 0.000
Os 3.835 3.835 3.835


# 16
8
Lattice="3.694 0.000 0.000 0.000 3.766 0.000 0.000 0.000 8.964" Properties=species:S:1:pos:R:3 comment="meta-GGA SCAN Li2ReAu, single point on PBEsol structure" sg="No. 35" n_ef_per_ev_fu=1.18 polymorph_energy_mev_per_atom=172 pbc="T T T"
Li 0.000 0.000 0.000
Li 0.000 1.883 2.705
Li 1.847 0.000 2.705
Li 1.847 1.883 0.000
Re 0.000 0.000 4.772
Re 1.847 1.883 4.772
Au 0.000 1.883 7.001
Au 1.847 0.000 7.001


# 17
36
Lattice="12.686 0.000 0.000 0.000 12.686 0.000 0.000 0.000 3.844" Properties=species:S:1:pos:R:3 comment="meta-GGA SCAN TlCu5Se3, single point on PBEsol structure" raw_formation_energy_ev_per_atom=-0.1622 sg="No. 136" n_ef_per_ev_fu=0.39 pbc="T T T"
Tl 1.314 1.314 0.000
Tl 5.029 7.657 1.922
Tl 7.657 5.029 1.922
Tl 11.372 11.372 0.000
Cu 0.113 5.047 0.000
Cu 1.117 8.982 1.922
Cu 1.296 6.456 1.922
Cu 2.357 10.329 0.000
Cu 2.639 5.226 0.000
Cu 3.704 11.569 1.922
Cu 3.986 3.986 1.922
Cu 5.047 0.113 0.000
Cu 5.226 2.639 0.000
Cu 6.230 11.390 1.922
Cu 6.456 1.296 1.922
Cu 7.460 10.047 0.000
Cu 7.639 12.573 0.000
Cu 8.701 8.701 1.922
Cu 8.982 1.117 1.922
Cu 10.047 7.460 0.000
Cu 10.329 2.357 0.000
Cu 11.390 6.230 1.922
Cu 11.569 3.704 1.922
Cu 12.573 7.639 0.000
Se 1.312 11.375 1.922
Se 1.437 4.029 1.922
Se 2.314 7.780 0.000
Se 4.029 1.437 1.922
Se 4.906 10.372 0.000
Se 5.031 5.031 0.000
Se 7.655 7.655 0.000
Se 7.780 2.314 0.000
Se 8.657 11.249 1.922
Se 10.372 4.906 0.000
Se 11.249 8.657 1.922
Se 11.375 1.312 1.922


# 18
4
Lattice="2.616 0.000 0.000 0.000 3.738 0.000 0.000 0.000 5.219" Properties=species:S:1:pos:R:3 comment="meta-GGA SCAN Mn2AlRe, single point on PBEsol structure" sg="No. 25" n_ef_per_ev_fu=1.84 pbc="T T T"
Mn 0.000 0.000 0.000
Mn 1.308 1.869 1.305
Al 1.308 1.869 3.982
Re 0.000 0.000 2.575


# 19
8
Lattice="3.169 0.000 0.000 0.000 4.815 0.000 0.000 0.000 9.803" Properties=species:S:1:pos:R:3 comment="meta-GGA SCAN Mg2AlAg, single point on PBEsol structure" sg="No. 44" n_ef_per_ev_fu=1.42 pbc="T T T"
Mg 0.000 0.000 0.000
Mg 0.000 2.407 2.164
Mg 1.584 0.000 7.065
Mg 1.584 2.407 4.901
Al 0.000 0.000 4.501
Al 1.584 2.407 9.402
Ag 0.000 2.407 7.266
Ag 1.584 0.000 2.364


# 20
8
Lattice="5.400 0.000 0.000 0.000 5.400 0.000 0.000 0.000 5.400" Properties=species:S:1:pos:R:3 comment="meta-GGA SCAN Cd3Ag, single point on PBEsol structure" sg="No. 223" n_ef_per_ev_fu=1.44 pbc="T T T"
Cd 0.000 1.350 2.700
Cd 0.000 4.050 2.700
Cd 1.350 2.700 0.000
Cd 2.700 0.000 1.350
Cd 2.700 0.000 4.050
Cd 4.050 2.700 0.000
Ag 0.000 0.000 0.000
Ag 2.700 2.700 2.700


| no. | final energy (eV/f.u.) |
| --- | --- |
| 1 | -113.1 |
| 2 | -38.5 |
| 3 | -52.1 |
| 4 | -144.4 |
| 5 | -95.9 |
| 6 | -107.7 |
| 7 | -59.4 |
| 8 | -187.5 |
| 9 | -100.8 |
| 10 | -75.4 |
| 11 | -98.0 |
| 12 | -136.8 |
| 13 | -141.1 |
| 14 | -172.2 |
| 15 | -152.7 |
| 16 | -144.6 |
| 17 | -210.1 |
| 18 | -116.2 |
| 19 | -49.4 |
| 20 | -122.5 |